# Pm3NdSc (PBE-GGA, relaxed)
data_Pm3NdSc
_space_group_name_H-M_alt 'P 1'
_space_group_IT_number 1
_space_group_name_Hall 'P 1'
_cell_length_a 11.1854
_cell_length_b 11.1854
_cell_length_c 6.6448
_cell_angle_alpha 93.65
_cell_angle_beta 93.65
_cell_angle_gamma 52.56
loop_
_atom_site_label
_atom_site_fract_x
_atom_site_fract_y
_atom_site_fract_z
Pm1 0.0171 0.1355 0.3942
Pm2 0.0852 0.5857 0.9249
Pm3 0.1355 0.0171 0.8942
Pm4 0.2429 0.4541 0.4153
Pm5 0.4143 0.9148 0.5751
Pm6 0.4541 0.2429 0.9153
Pm7 0.5459 0.7571 0.0847
Pm8 0.5857 0.0852 0.4249
Pm9 0.7571 0.5459 0.5847
Pm10 0.8645 0.9829 0.1058
Pm11 0.9148 0.4143 0.0751
Pm12 0.9829 0.8645 0.6058
Nd1 0.2514 0.7486 0.2500
Nd2 0.4000 0.6000 0.7500
Nd3 0.6000 0.4000 0.2500
Nd4 0.7486 0.2514 0.7500
Sc1 0.1534 0.2782 0.6830
Sc2 0.2782 0.1534 0.1830
Sc3 0.7218 0.8466 0.8170
Sc4 0.8466 0.7218 0.3170
# formation enthalpy at 0 K = 89 meV per atom
# space group = C2/c, No. 15
# volume = 32.92 Å³ per atom
# Fermi-level density of states = 1.518 states/eV/atom